{
  "formula": "GaSe2Cl6",
  "functional": "PBE-GGA",
  "state": "optimized geometry",
  "lattice": [[3.650, 0.000, 0.000], [-0.636, 8.482, 0.000], [-0.084, -3.691, 8.392]],
  "species": ["Ga", "Se", "Se", "Cl", "Cl", "Cl", "Cl", "Cl", "Cl"],
  "fractional_positions": [[0.000, 0.000, 0.000], [0.468, 0.448, 0.357], [0.532, 0.552, 0.643], [0.054, 0.276, 0.028], [0.461, 0.702, 0.355], [0.494, 0.938, 0.794], [0.506, 0.062, 0.206], [0.539, 0.298, 0.645], [0.946, 0.724, 0.972]],
  "magnetic_moment_mub_per_fu": 0.0
}

***

{
  "formula": "Ga12Se5Cl3",
  "functional": "PBE-GGA",
  "state": "optimized geometry",
  "lattice": [[-8.416, 8.416, 8.416], [8.416, -8.416, 8.416], [8.416, 8.416, -8.416]],
  "species": ["Ga", "Ga", "Ga", "Ga", "Ga", "Ga", "Ga", "Ga", "Ga", "Ga", "Ga", "Ga", "Ga", "Ga", "Ga", "Ga", "Ga", "Ga", "Ga", "Ga", "Ga", "Ga", "Ga", "Ga", "Ga", "Ga", "Ga", "Ga", "Ga", "Ga", "Ga", "Ga", "Ga", "Ga", "Ga", "Ga", "Ga", "Ga", "Ga", "Ga", "Ga", "Ga", "Ga", "Ga", "Ga", "Ga", "Ga", "Ga", "Se", "Se", "Se", "Se", "Se", "Se", "Se", "Se", "Se", "Se", "Se", "Se", "Se", "Se", "Se", "Se", "Se", "Se", "Se", "Se", "Cl", "Cl", "Cl", "Cl", "Cl", "Cl", "Cl", "Cl", "Cl", "Cl", "Cl", "Cl"],
  "fractional_positions": [[0.059, 0.228, 0.150], [0.059, 0.331, 0.909], [0.078, 0.728, 0.669], [0.078, 0.850, 0.409], [0.091, 0.650, 0.422], [0.091, 0.941, 0.669], [0.150, 0.059, 0.228], [0.150, 0.591, 0.922], [0.169, 0.228, 0.578], [0.169, 0.441, 0.591], [0.228, 0.150, 0.059], [0.228, 0.578, 0.169], [0.272, 0.331, 0.922], [0.272, 0.441, 0.350], [0.331, 0.909, 0.059], [0.331, 0.922, 0.272], [0.350, 0.272, 0.441], [0.350, 0.578, 0.909], [0.409, 0.078, 0.850], [0.409, 0.831, 0.559], [0.422, 0.091, 0.650], [0.422, 0.831, 0.772], [0.441, 0.350, 0.272], [0.441, 0.591, 0.169], [0.559, 0.409, 0.831], [0.559, 0.650, 0.728], [0.578, 0.169, 0.228], [0.578, 0.909, 0.350], [0.591, 0.169, 0.441], [0.591, 0.922, 0.150], [0.650, 0.422, 0.091], [0.650, 0.728, 0.559], [0.669, 0.078, 0.728], [0.669, 0.091, 0.941], [0.728, 0.559, 0.650], [0.728, 0.669, 0.078], [0.772, 0.422, 0.831], [0.772, 0.850, 0.941], [0.831, 0.559, 0.409], [0.831, 0.772, 0.422], [0.850, 0.409, 0.078], [0.850, 0.941, 0.772], [0.909, 0.059, 0.331], [0.909, 0.350, 0.578], [0.922, 0.150, 0.591], [0.922, 0.272, 0.331], [0.941, 0.669, 0.091], [0.941, 0.772, 0.850], [0.000, 0.000, 0.000], [0.000, 0.000, 0.500], [0.000, 0.500, 0.000], [0.000, 0.500, 0.500], [0.125, 0.750, 0.875], [0.125, 0.875, 0.250], [0.250, 0.125, 0.875], [0.250, 0.625, 0.375], [0.375, 0.250, 0.625], [0.375, 0.625, 0.750], [0.500, 0.000, 0.000], [0.500, 0.000, 0.500], [0.500, 0.500, 0.000], [0.500, 0.500, 0.500], [0.625, 0.375, 0.250], [0.625, 0.750, 0.375], [0.750, 0.375, 0.625], [0.750, 0.875, 0.125], [0.875, 0.125, 0.750], [0.875, 0.250, 0.125], [0.125, 0.250, 0.375], [0.125, 0.375, 0.750], [0.250, 0.375, 0.125], [0.250, 0.875, 0.625], [0.375, 0.125, 0.250], [0.375, 0.750, 0.125], [0.625, 0.250, 0.875], [0.625, 0.875, 0.750], [0.750, 0.125, 0.375], [0.750, 0.625, 0.875], [0.875, 0.625, 0.250], [0.875, 0.750, 0.625]],
  "magnetic_moment_mub_per_fu": 0.0
}

***

{
  "formula": "GaSe3Cl",
  "functional": "PBE-GGA",
  "state": "optimized geometry",
  "lattice": [[4.997, 0.000, 0.000], [0.000, 4.997, 0.000], [0.000, 0.000, 4.997]],
  "species": ["Ga", "Se", "Se", "Se", "Cl"],
  "fractional_positions": [[0.000, 0.000, 0.000], [0.000, 0.000, 0.500], [0.000, 0.500, 0.000], [0.500, 0.000, 0.000], [0.500, 0.500, 0.500]],
  "magnetic_moment_mub_per_fu": 0.0,
  "relative_energy_ev_per_atom": 0.000
}

***

| no. | uncorrected formation energy (eV per atom) |
| --- | --- |
| 1 | -0.5333 |
| 2 | -0.1896 |
| 3 | 0.4358 |